Entry P
ScTaSi2 | PBE | optimized geometry

Properties
Symmetry: Cmmm, No. 65

Lattice parameters (Å, degrees): 2.9751 2.9751 7.7427 90.00 90.00 102.65
Closest atoms and distances in Å follow each position.
Element x y z (fractional)
Ta (0.5000, 0.5000, 0.2500)  4 Si 2.63
Si (0.0000, 0.0000, 0.0093)  2 Ta 2.63, 2 Sc 2.74
Sc (0.5000, 0.5000, 0.7500)  4 Si 2.74, 4 Sc 2.98
Si (0.0000, 0.0000, 0.4907)  2 Ta 2.63, 2 Sc 2.74

Entry Q
ScTaSi2 | PBE | optimized geometry

Properties
Symmetry: P4/mmm, No. 123

Lattice parameters (Å, degrees): 2.9249 2.9249 7.6978 90.00 90.00 90.00
Closest atoms and distances in Å follow each position.
Element x y z (fractional)
Si (0.0000, 0.0000, 0.4905)  4 Ta 2.78, 4 Sc 2.88, 4 Si 2.92
Ta (0.5000, 0.5000, 0.2500)  8 Si 2.78, 4 Ta 2.92
Sc (0.5000, 0.5000, 0.7500)  8 Si 2.88, 4 Sc 2.92
Si (0.0000, 0.0000, 0.0095)  4 Ta 2.78, 4 Sc 2.88, 4 Si 2.92

Entry R
ScTaSi2 | PBE | optimized geometry

Properties
Symmetry: Amm2, No. 38

Lattice parameters (Å, degrees): 5.1650 5.1650 3.6911 90.00 90.00 41.20
Closest atoms and distances in Å follow each position.
Element x y z (fractional)
Si (0.9549, 0.9549, 0.1249)  2 Si 2.40, 1 Sc 2.64, 4 Ta 2.67
Si (0.7964, 0.7964, 0.6251)  2 Si 2.40, 1 Ta 2.67, 4 Sc 2.67
Ta (0.5203, 0.5203, 0.6249)  7 Si 2.67-2.83
Sc (0.2284, 0.2284, 0.1251)  7 Si 2.64-2.85

Verdict on stability: entry Q comes out at the bottom.

Entry P
ScTaSi2 | PBE | optimized geometry

Properties
Symmetry: Pmmm, No. 47

Lattice parameters (Å, degrees): 3.8032 4.5315 3.8085 90.00 90.00 90.00
Closest atoms and distances in Å follow each position.
Element x y z (fractional)
Si (0.5000, 0.5000, 0.0000)  4 Sc 2.69, 4 Si 2.96, 4 Ta 2.96
Ta (0.5000, 0.0000, 0.5000)  8 Si 2.69-2.96, 4 Sc 2.96
Sc (0.0000, 0.5000, 0.5000)  8 Si 2.69-2.96, 4 Ta 2.96
Si (0.0000, 0.0000, 0.0000)  4 Ta 2.69, 4 Si 2.96, 4 Sc 2.96

Entry Q
ScTaSi2 | PBE | optimized geometry

Properties
Symmetry: I-4m2, No. 119

Lattice parameters (Å, degrees): 5.2065 5.2065 5.2065 136.93 136.91 62.56
Closest atoms and distances in Å follow each position.
Element x y z (fractional)
Ta (0.5001, 0.5001, 0.0000)  8 Si 2.70-2.93, 4 Sc 2.93
Si (0.0000, 0.0000, 0.0000)  4 Ta 2.70, 4 Si 2.93, 4 Sc 2.93
Si (0.7500, 0.2500, 0.5000)  4 Sc 2.70, 4 Ta 2.93, 4 Si 2.93
Sc (0.2500, 0.7500, 0.5000)  8 Si 2.70-2.93, 4 Ta 2.93

Verdict on stability: entry P comes out at the bottom.

Entry P
ScTaSi2 | PBE | optimized geometry

Properties
Symmetry: P4mm, No. 99

Lattice parameters (Å, degrees): 3.6115 3.6115 5.3144 90.00 90.00 90.00
Closest atoms and distances in Å follow each position.
Element x y z (fractional)
Si (0.5000, 0.5000, 0.2814)  2 Sc 2.61-2.70, 4 Ta 2.75
Ta (0.0000, 0.0000, 0.4713)  6 Si 2.64-2.75
Sc (0.5000, 0.5000, 0.7726)  6 Si 2.61-2.77
Si (0.0000, 0.0000, 0.9747)  2 Ta 2.64-2.68, 4 Sc 2.77

Entry Q
ScTaSi2 | PBE | optimized geometry

Properties
Symmetry: I4/mmm, No. 139

Lattice parameters (Å, degrees): 4.8014 4.8014 4.8014 129.02 129.02 74.99
Closest atoms and distances in Å follow each position.
Element x y z (fractional)
Si (0.0000, 0.0000, 0.0000)  4 Sc 2.81, 4 Ta 2.81, 4 Si 2.92
Sc (0.7500, 0.2500, 0.5000)  8 Si 2.81, 4 Ta 2.92
Ta (0.2500, 0.7500, 0.5000)  8 Si 2.81, 4 Sc 2.92
Si (0.5000, 0.5000, 0.0000)  4 Ta 2.81, 4 Sc 2.81, 4 Si 2.92

Verdict on stability: entry P comes out at the bottom.